Record 1
## NaBe3Ru (GGA-PBE)

Data for an optimized crystal structure of NaBe3Ru.

Computed properties:
Magnetization ... 0.000 Bohr magnetons per cell
Relative energy among the computed polymorphs ... 1336 meV per atom
Energy relative to the elements ... 1.77 eV/atom

Geometry as POSCAR:
```
NaBe3Ru
1.0
3.9933 0.0000 0.0000
0.0000 3.9933 0.0000
0.0000 0.0000 3.9933
Ru Be Na
1 3 1
direct
0.5000 0.5000 0.5000
0.5000 0.0000 0.0000
0.0000 0.5000 0.0000
0.0000 0.0000 0.5000
0.0000 0.0000 0.0000
```

Record 2
## NaBe2Ru (GGA-PBE)

Data for an optimized crystal structure of NaBe2Ru.

Computed properties:
Magnetization ... 0.000 Bohr magnetons per cell
Relative energy among the computed polymorphs ... 0 meV per atom
Energy relative to the elements ... 0.48 eV/atom

Geometry as POSCAR:
```
NaBe2Ru
1.0
0.0000 2.9106 2.9106
2.9106 0.0000 2.9106
2.9106 2.9106 0.0000
Ru Be Na
1 2 1
direct
0.5000 0.5000 0.5000
0.7500 0.7500 0.7500
0.2500 0.2500 0.2500
0.0000 0.0000 0.0000
```

Record 3
## NaBe2Ru (GGA-PBE)

Data for an optimized crystal structure of NaBe2Ru.

Computed properties:
Magnetization ... 0.795 Bohr magnetons per cell
Relative energy among the computed polymorphs ... 272 meV per atom
Energy relative to the elements ... 0.75 eV/atom

Geometry as POSCAR:
```
NaBe2Ru
1.0
-2.3881 2.7504 2.2291
-3.5326 -2.0286 -1.2815
-2.5436 -4.2077 6.5571
Be Ru Na
4 2 2
direct
0.8285 0.1250 0.2500
0.9215 0.6250 0.2500
0.8750 0.0785 0.7500
0.3750 0.1715 0.7500
0.0000 0.0000 0.0000
0.7500 0.2500 0.5000
0.2500 0.7500 0.5000
0.5000 0.5000 0.0000
```

Record 4
## NaBe2Ru2 (GGA-PBE)

Data for an optimized crystal structure of NaBe2Ru2.

Computed properties:
Magnetization ... 0.000 Bohr magnetons per cell
Energy relative to the elements ... 0.23 eV/atom

Geometry as POSCAR:
```
NaBe2Ru2
1.0
6.2991 0.0000 0.0000
0.0000 6.2991 0.0000
0.0000 0.0000 3.0690
Na Be Ru
2 4 4
direct
0.0000 0.0000 0.0000
0.5000 0.5000 0.0000
0.8796 0.6204 0.0000
0.1204 0.3796 0.0000
0.6204 0.1204 0.0000
0.3796 0.8796 0.0000
0.1642 0.6642 0.5000
0.3358 0.1642 0.5000
0.6642 0.8358 0.5000
0.8358 0.3358 0.5000
```

Record 5
## NaBe3Ru (GGA-PBE)

Data for an optimized crystal structure of NaBe3Ru.

Computed properties:
Magnetization ... 0.000 Bohr magnetons per cell
Relative energy among the computed polymorphs ... 0 meV per atom
Energy relative to the elements ... 0.44 eV/atom

Geometry as POSCAR:
```
NaBe3Ru
1.0
4.2886 0.0000 0.0000
0.0000 4.2886 0.0000
0.0000 0.0000 4.2886
Ru Na Be
1 1 3
direct
0.0000 0.0000 0.0000
0.5000 0.5000 0.5000
0.0000 0.5000 0.0000
0.0000 0.0000 0.5000
0.5000 0.0000 0.0000
```

Record 6
## Na2SrBeRu (GGA-PBE)

Data for an optimized crystal structure of Na2SrBeRu.

Computed properties:
Magnetization ... 0.000 Bohr magnetons per cell
Energy relative to the elements ... 0.64 eV/atom

Geometry as POSCAR:
```
Na2SrBeRu
1.0
5.3924 0.0000 0.0000
0.0000 4.3918 0.0000
0.0000 0.0000 5.3924
Na Ru Be Sr
2 1 1 1
direct
0.0000 0.0000 0.5000
0.5000 0.0000 0.0000
0.0000 0.0000 0.0000
0.0000 0.5000 0.0000
0.5000 0.5000 0.5000
```

Record 7
## NaSrBeRu2 (GGA-PBE)

Data for an optimized crystal structure of NaSrBeRu2.

Computed properties:
Magnetization ... 1.704 Bohr magnetons per cell
Energy relative to the elements ... 0.54 eV/atom

Geometry as POSCAR:
```
NaSrBeRu2
1.0
4.3716 0.0000 0.0000
0.0000 4.9728 0.0000
0.0000 0.0000 4.3716
Ru Be Na Sr
2 1 1 1
direct
0.0000 0.0000 0.5000
0.5000 0.0000 0.0000
0.0000 0.0000 0.0000
0.0000 0.5000 0.0000
0.5000 0.5000 0.5000
```

Record 8
## Na2BeTcRu (GGA-PBE)

Data for an optimized crystal structure of Na2BeTcRu.

Computed properties:
Magnetization ... 3.309 Bohr magnetons per cell
Energy relative to the elements ... 1.50 eV/atom

Geometry as POSCAR:
```
Na2BeTcRu
1.0
4.5168 0.0000 0.0000
0.0000 4.4238 0.0000
0.0000 0.0000 4.5168
Tc Na Be Ru
1 2 1 1
direct
0.0000 0.5000 0.0000
0.0000 0.0000 0.5000
0.5000 0.0000 0.0000
0.0000 0.0000 0.0000
0.5000 0.5000 0.5000
```

> magnetization of number 8 (Na2BeTcRu)?

3.309 Bohr magnetons per cell

> The lowest energy relative to the elements belongs to which entry?

NaBe2Ru2

Please write out number 8 again, unchanged.
## Na2BeTcRu (GGA-PBE)

Data for an optimized crystal structure of Na2BeTcRu.

Computed properties:
Magnetization ... 3.309 Bohr magnetons per cell
Energy relative to the elements ... 1.50 eV/atom

Geometry as POSCAR:
```
Na2BeTcRu
1.0
4.5168 0.0000 0.0000
0.0000 4.4238 0.0000
0.0000 0.0000 4.5168
Tc Na Be Ru
1 2 1 1
direct
0.0000 0.5000 0.0000
0.0000 0.0000 0.5000
0.5000 0.0000 0.0000
0.0000 0.0000 0.0000
0.5000 0.5000 0.5000
```